DFT (GGA+U) results for an optimized crystal structure of Cr2NiBiO6.

Properties
DOS at the Fermi energy ... 0.057 states/eV per atom
Calculated density ... 6.8 g cm⁻³
VASP energy ... -0.24177 hartree per atom

a b c (Å): 5.3355 5.3355 13.8555
angles (deg): 90.00 90.00 120.00
Closest atoms and distances in Å follow each position.
Space group R3 (No. 146, hexagonal axes)
Symmetry-distinct sites (fractional):
Cr (0.0000, 0.0000, 0.0000) [3 per cell]  6 O 1.99-2.06
Cr (0.0000, 0.0000, 0.4937) [3 per cell]  6 O 2.00-2.07
Ni (0.0000, 0.0000, 0.7000) [3 per cell]  6 O 2.12-2.14
Bi (0.0000, 0.0000, 0.2146) [3 per cell]  6 O 2.25-2.35
O (0.0171, 0.3788, 0.7587) [9 per cell]  2 Cr 2.00-2.06, 1 Ni 2.14
O (0.0222, 0.6081, 0.2610) [9 per cell]  2 Cr 1.99-2.07, 1 Ni 2.12